1.
{
  "formula": "Li2CaRh",
  "functional": "GGA-PBE",
  "state": "relaxed",
  "lattice_angstrom": [[5.068, 0.003, 0.000], [1.639, 4.796, 0.000], [-3.353, -2.400, 2.947]],
  "species": ["Li", "Li", "Rh", "Ca"],
  "fractional_positions": [[0.000, 0.000, 0.000], [0.500, 0.500, 0.000], [0.250, 0.750, 0.500], [0.750, 0.250, 0.500]],
  "m_tot_mub_per_fu": 0.00,
  "sg": "I4/mmm, No. 139",
  "dft_energy_ev_per_atom": -3.42,
  "relative_energy_mev_per_atom": 75,
  "dos_at_fermi_per_ev_fu": 1.436,
  "formation_energy_ev_per_atom": -0.122
}



2.
{
  "formula": "TiAsBr2F",
  "functional": "GGA-PBE",
  "state": "relaxed",
  "lattice_angstrom": [[5.342, 0.000, 0.000], [0.000, 5.342, 0.000], [0.000, 0.000, 3.891]],
  "species": ["As", "Br", "Br", "F", "Ti"],
  "fractional_positions": [[0.000, 0.000, 0.500], [0.000, 0.500, 0.000], [0.500, 0.000, 0.000], [0.000, 0.000, 0.000], [0.500, 0.500, 0.500]],
  "m_tot_mub_per_fu": 0.10,
  "sg": "P4/mmm, No. 123",
  "dft_energy_ev_per_atom": -3.48,
  "relative_energy_mev_per_atom": 543,
  "raw_formation_energy_ev_per_fu": 0.34,
  "dos_at_fermi_per_ev_fu": 5.777
}



3.
{
  "formula": "Sc2SnSe",
  "functional": "GGA-PBE",
  "state": "relaxed",
  "lattice_angstrom": [[3.618, 0.000, 0.000], [1.809, 3.133, 0.000], [1.809, 1.044, 7.944]],
  "species": ["Sc", "Sc", "Sn", "Se"],
  "fractional_positions": [[0.240, 0.240, 0.280], [0.093, 0.093, 0.720], [0.667, 0.667, 0.998], [0.499, 0.499, 0.502]],
  "m_tot_mub_per_fu": 0.00,
  "sg": "R3m, No. 160",
  "dft_energy_ev_per_atom": -6.04,
  "relative_energy_mev_per_atom": 68,
  "raw_formation_energy_ev_per_fu": -4.03,
  "dos_at_fermi_per_ev_fu": 2.713
}